P:
First-principles (PBE) data for crystalline ZrAg3N at its relaxed geometry, as listed in the Alexandria database.

Summary:
space-group type	Pm-3m (221)
crystal system	cubic

Cell lengths 5.307, 5.307, 5.307 Å; angles 90.00, 90.00, 90.00 degrees
Atoms (fractional coordinates):
Zr 0.000 0.000 0.000
Ag 0.000 0.000 0.500
Ag 0.000 0.500 0.000
Ag 0.500 0.000 0.000
N 0.500 0.500 0.500

***

Q:
First-principles (PBE) data for crystalline ZrAg3N at its relaxed geometry, as listed in the Alexandria database.

Summary:
space-group type	Pm-3m (221)
crystal system	cubic

Cell lengths 4.444, 4.444, 4.444 Å; angles 90.00, 90.00, 90.00 degrees
Atoms (fractional coordinates):
Zr 0.000 0.000 0.000
Ag 0.000 0.500 0.500
Ag 0.500 0.000 0.500
Ag 0.500 0.500 0.000
N 0.500 0.500 0.500

***

Computed stability ranking, most favorable first: Q, P

***

P:
First-principles (PBE) data for crystalline NaAg8 at its relaxed geometry, as listed in the Alexandria database.

Summary:
space-group type	I4/mmm (139)
crystal system	tetragonal

Cell lengths 7.609, 7.609, 7.609 Å; angles 92.24, 92.24, 157.20 degrees
Atoms (fractional coordinates):
Na 0.000 0.000 0.000
Ag 0.000 0.332 0.332
Ag 0.000 0.668 0.668
Ag 0.330 0.330 0.661
Ag 0.330 0.670 0.000
Ag 0.332 0.000 0.332
Ag 0.668 0.000 0.668
Ag 0.670 0.330 0.000
Ag 0.670 0.670 0.339

***

Q:
First-principles (PBE) data for crystalline NaAg8 at its relaxed geometry, as listed in the Alexandria database.

Summary:
space-group type	I4/mmm (139)
crystal system	tetragonal

Cell lengths 6.598, 6.598, 6.598 Å; angles 95.91, 95.91, 142.57 degrees
Atoms (fractional coordinates):
Na 0.000 0.000 0.000
Ag 0.000 0.335 0.335
Ag 0.000 0.665 0.665
Ag 0.330 0.330 0.661
Ag 0.330 0.670 0.000
Ag 0.335 0.000 0.335
Ag 0.665 0.000 0.665
Ag 0.670 0.330 0.000
Ag 0.670 0.670 0.339

***

Computed stability ranking, most favorable first: Q, P

***

P:
First-principles (PBE) data for crystalline Na4Ag at its relaxed geometry, as listed in the Alexandria database.

Summary:
space-group type	Pm-3m (221)
crystal system	cubic

Cell lengths 5.733, 5.733, 5.733 Å; angles 90.00, 90.00, 90.00 degrees
Atoms (fractional coordinates):
Na 0.000 0.000 0.000
Na 0.000 0.500 0.500
Na 0.500 0.000 0.500
Na 0.500 0.500 0.000
Ag 0.500 0.500 0.500

***

Q:
First-principles (PBE) data for crystalline Na4Ag at its relaxed geometry, as listed in the Alexandria database.

Summary:
space-group type	I4_1/a (88)
crystal system	tetragonal

Cell lengths 8.788, 8.788, 8.788 Å; angles 135.97, 135.97, 64.03 degrees
Atoms (fractional coordinates):
Na 0.063 0.191 0.346
Na 0.217 0.563 0.372
Na 0.309 0.155 0.872
Na 0.345 0.717 0.154
Na 0.655 0.283 0.846
Na 0.691 0.845 0.128
Na 0.783 0.437 0.628
Na 0.937 0.809 0.654
Ag 0.375 0.125 0.250
Ag 0.625 0.875 0.750

***

Computed stability ranking, most favorable first: Q, P

***

P:
First-principles (PBE) data for crystalline Na4Ag at its relaxed geometry, as listed in the Alexandria database.

Summary:
space-group type	Ibam (72)
crystal system	orthorhombic

Cell lengths 8.809, 8.809, 8.809 Å; angles 131.18, 63.58, 141.87 degrees
Atoms (fractional coordinates):
Na 0.083 0.662 0.745
Na 0.176 0.147 0.323
Na 0.324 0.647 0.972
Na 0.417 0.162 0.579
Na 0.583 0.838 0.421
Na 0.676 0.353 0.028
Na 0.824 0.853 0.677
Na 0.917 0.338 0.255
Ag 0.250 0.250 0.000
Ag 0.750 0.750 0.000

***

Q:
First-principles (PBE) data for crystalline Na4Ag at its relaxed geometry, as listed in the Alexandria database.

Summary:
space-group type	Fd-3m (227)
crystal system	cubic

Cell lengths 8.141, 8.141, 8.141 Å; angles 60.00, 60.00, 60.00 degrees
Atoms (fractional coordinates):
Na 0.198 0.767 0.767
Na 0.233 0.233 0.233
Na 0.233 0.233 0.802
Na 0.233 0.802 0.233
Na 0.767 0.198 0.767
Na 0.767 0.767 0.198
Na 0.767 0.767 0.767
Na 0.802 0.233 0.233
Ag 0.375 0.375 0.375
Ag 0.625 0.625 0.625

***

Computed stability ranking, most favorable first: P, Q

***

P:
First-principles (PBE) data for crystalline NaAg2 at its relaxed geometry, as listed in the Alexandria database.

Summary:
space-group type	I4/mmm (139)
crystal system	tetragonal

Cell lengths 7.211, 7.211, 7.211 Å; angles 156.34, 156.34, 33.71 degrees
Atoms (fractional coordinates):
Na 0.000 0.000 0.000
Ag 0.326 0.326 0.000
Ag 0.674 0.674 0.000

***

Q:
First-principles (PBE) data for crystalline NaAg2 at its relaxed geometry, as listed in the Alexandria database.

Summary:
space-group type	Fd-3m (227)
crystal system	cubic

Cell lengths 5.668, 5.668, 5.668 Å; angles 60.00, 60.00, 60.00 degrees
Atoms (fractional coordinates):
Na 0.125 0.125 0.125
Na 0.875 0.875 0.875
Ag 0.000 0.500 0.500
Ag 0.500 0.000 0.500
Ag 0.500 0.500 0.000
Ag 0.500 0.500 0.500

***

Computed stability ranking, most favorable first: Q, P

***

P:
First-principles (PBE) data for crystalline Na6Ag at its relaxed geometry, as listed in the Alexandria database.

Summary:
space-group type	Cmcm (63)
crystal system	orthorhombic

Cell lengths 6.572, 6.572, 10.570 Å; angles 90.00, 90.00, 82.00 degrees
Atoms (fractional coordinates):
Na 0.030 0.609 0.250
Na 0.166 0.834 0.589
Na 0.166 0.834 0.911
Na 0.326 0.326 0.000
Na 0.326 0.326 0.500
Na 0.391 0.970 0.250
Na 0.609 0.030 0.750
Na 0.674 0.674 0.000
Na 0.674 0.674 0.500
Na 0.834 0.166 0.089
Na 0.834 0.166 0.411
Na 0.970 0.391 0.750
Ag 0.472 0.528 0.750
Ag 0.528 0.472 0.250

***

Q:
First-principles (PBE) data for crystalline Na6Ag at its relaxed geometry, as listed in the Alexandria database.

Summary:
space-group type	Im-3m (229)
crystal system	cubic

Cell lengths 7.589, 7.589, 7.589 Å; angles 109.47, 109.47, 109.47 degrees
Atoms (fractional coordinates):
Na 0.250 0.500 0.750
Na 0.250 0.750 0.500
Na 0.500 0.250 0.750
Na 0.500 0.750 0.250
Na 0.750 0.250 0.500
Na 0.750 0.500 0.250
Ag 0.000 0.000 0.000

***

Computed stability ranking, most favorable first: P, Q